No. 1
SmErCuTe3 | PBE-GGA | relaxed

The value obtained for the calculated total energy is -4.7628 eV per atom.

POSCAR file:
```
SmErCuTe3
1.0
2.078 -7.116 0.000
2.078 7.116 0.000
0.000 0.000 11.045
Te Er Cu Sm
6 2 2 2
Direct
0.648 0.352 0.936
0.909 0.091 0.750
0.648 0.352 0.564
0.091 0.909 0.250
0.352 0.648 0.064
0.352 0.648 0.436
0.000 0.000 0.000
0.000 0.000 0.500
0.532 0.468 0.750
0.468 0.532 0.250
0.769 0.231 0.250
0.231 0.769 0.750
```

No. 2
DyCuPbSe2S | PBE-GGA | relaxed

The value obtained for the calculated total energy is -4.9027 eV per atom.

POSCAR file:
```
DyCuPbSe2S
1.0
2.013 -6.749 0.000
2.013 6.749 0.000
0.000 0.000 10.285
Se Pb Cu Dy S
4 2 2 2 2
Direct
0.644 0.356 0.936
0.356 0.644 0.064
0.644 0.356 0.564
0.356 0.644 0.436
0.255 0.745 0.750
0.745 0.255 0.250
0.473 0.527 0.250
0.527 0.473 0.750
0.000 0.000 0.000
0.000 0.000 0.500
0.930 0.070 0.750
0.070 0.930 0.250
```

No. 3
HoLuSc2Sb2 | PBE-GGA | relaxed

The value obtained for the calculated total energy is -5.7890 eV per atom.

POSCAR file:
```
HoLuSc2Sb2
1.0
-2.156 2.156 8.076
2.156 -2.156 8.076
2.156 2.156 -8.076
Sb Lu Sc Ho
2 1 2 1
Direct
0.867 0.867 0.000
0.133 0.133 0.000
0.676 0.676 0.000
0.500 0.000 0.500
0.000 0.500 0.500
0.324 0.324 0.000
```

No. 4
TaPPbO | PBE-GGA | relaxed

The value obtained for the energy above the most stable polymorph in this dataset is 342 meV per atom.

POSCAR file:
```
TaPPbO
1.0
4.279 0.000 0.000
0.000 4.279 0.000
0.000 0.000 9.565
Ta P Pb O
2 2 2 2
Direct
0.000 0.500 0.974
0.500 0.000 0.026
0.000 0.500 0.739
0.500 0.000 0.261
0.500 0.500 0.500
0.000 0.000 0.500
0.000 0.000 0.000
0.500 0.500 0.000
```

No. 5
Dy2Tm2B3C4 | PBE-GGA | relaxed

The value obtained for the calculated total energy is -7.3179 eV per atom.

POSCAR file:
```
Dy2Tm2B3C4
1.0
3.481 0.000 0.000
-0.007 3.580 0.000
-1.448 -0.565 11.755
C B Dy Tm
4 3 2 2
Direct
0.099 0.941 0.122
0.689 0.474 0.331
0.311 0.526 0.669
0.901 0.059 0.878
0.000 0.000 0.000
0.753 0.494 0.459
0.247 0.506 0.541
0.196 0.977 0.350
0.804 0.023 0.650
0.605 0.448 0.140
0.395 0.552 0.860
```

No. 6
Pa | PBE-GGA | relaxed

As for the calculated formation energy: 0.0 eV/f.u. The value obtained for the energy above the most stable polymorph in this dataset is 7 meV per atom.

POSCAR file:
```
Pa
1.0
2.042 0.772 2.364
-2.485 0.747 1.903
0.152 -3.055 -1.324
Pa
1
Direct
0.000 0.000 0.000
```

No. 7
TbYNCl3 | PBE-GGA | relaxed

The value obtained for the calculated total energy is -6.2771 eV per atom.

POSCAR file:
```
TbYNCl3
1.0
7.953 -1.926 0.000
7.953 1.926 0.000
-5.273 0.000 9.118
Cl Tb N Y
6 2 2 2
Direct
0.950 0.950 0.756
0.664 0.664 0.016
0.224 0.224 0.613
0.050 0.050 0.244
0.776 0.776 0.387
0.336 0.336 0.984
0.587 0.587 0.452
0.413 0.413 0.548
0.576 0.576 0.658
0.424 0.424 0.342
0.136 0.136 0.794
0.864 0.864 0.206
```

No. 8
LaTa2Pb | PBE-GGA | relaxed

The value obtained for the calculated total energy is -7.4709 eV per atom.

POSCAR file:
```
LaTa2Pb
1.0
-2.015 -2.428 -5.497
1.182 -4.847 1.708
-5.139 -0.510 2.109
Ta Pb La
4 2 2
Direct
0.750 0.500 0.000
0.500 0.500 0.500
0.000 0.500 0.500
0.250 0.500 0.000
0.000 0.000 0.000
0.500 0.000 0.000
0.250 0.000 0.500
0.750 0.000 0.500
```

No. 9
Pm7SiCl12 | PBE-GGA | relaxed

The value obtained for the calculated total energy is -4.9868 eV per atom.

POSCAR file:
```
Pm7SiCl12
1.0
0.236 -7.599 4.797
6.785 -0.297 -5.890
1.598 6.817 5.638
Cl Si Pm
12 1 7
Direct
0.311 0.922 0.775
0.922 0.775 0.311
0.775 0.311 0.922
0.470 0.386 0.163
0.386 0.163 0.470
0.614 0.837 0.530
0.078 0.225 0.689
0.163 0.470 0.386
0.689 0.078 0.225
0.837 0.530 0.614
0.530 0.614 0.837
0.225 0.689 0.078
0.000 0.000 0.000
0.031 0.114 0.332
0.668 0.969 0.886
0.969 0.886 0.668
0.332 0.031 0.114
0.886 0.668 0.969
0.500 0.500 0.500
0.114 0.332 0.031
```

No. 10
KSn6Au4 | PBE-GGA | relaxed

The value obtained for the calculated total energy is -3.7242 eV per atom.

POSCAR file:
```
KSn6Au4
1.0
4.469 -5.137 0.000
4.469 5.137 0.000
-4.469 0.000 12.357
Sn Au K
12 8 2
Direct
0.008 0.761 0.518
0.243 0.990 0.982
0.757 0.010 0.018
0.739 0.492 0.982
0.510 0.257 0.518
0.490 0.743 0.482
0.729 0.771 0.750
0.979 0.521 0.250
0.271 0.229 0.250
0.992 0.239 0.482
0.021 0.479 0.750
0.261 0.508 0.018
0.568 0.318 0.135
0.063 0.813 0.125
0.687 0.437 0.375
0.818 0.068 0.635
0.182 0.932 0.365
0.937 0.187 0.875
0.313 0.563 0.625
0.432 0.682 0.865
0.625 0.875 0.250
0.375 0.125 0.750
```

No. 11
MgCdNO | PBE-GGA | relaxed

The value obtained for the energy above the most stable polymorph in this dataset is 68 meV per atom.

POSCAR file:
```
MgCdNO
1.0
-1.865 -3.230 0.000
0.000 0.000 4.407
-5.624 3.247 0.000
O N Mg Cd
2 2 2 2
Direct
0.500 0.935 0.860
0.500 0.435 0.140
0.000 0.939 0.322
0.000 0.439 0.678
0.500 0.441 0.834
0.500 0.941 0.166
0.000 0.939 0.668
0.000 0.439 0.332
```

No. 12
CsTmPa | PBE-GGA | relaxed

The value obtained for the energy above the most stable polymorph in this dataset is 0 meV per atom.

POSCAR file:
```
CsTmPa
1.0
5.743 0.656 0.686
2.148 1.623 5.161
2.998 -3.802 3.230
Pa Cs Tm
1 1 1
Direct
0.750 0.750 0.750
0.250 0.250 0.250
0.000 0.000 0.000
```

No. 13
Ho2Pd5Au | PBE-GGA | relaxed

As for the calculated formation energy: -7.4 eV/f.u.

POSCAR file:
```
Ho2Pd5Au
1.0
-2.949 2.949 4.034
2.949 -2.949 4.034
2.949 2.949 -4.034
Pd Ho Au
5 2 1
Direct
0.500 0.500 0.000
0.000 0.500 0.000
0.500 0.000 0.000
0.500 0.500 0.500
0.000 0.000 0.500
0.500 0.000 0.500
0.000 0.500 0.500
0.000 0.000 0.000
```

No. 14
Ta8Co5 | PBE-GGA | relaxed

As for the calculated formation energy: 2.9 eV/f.u. The value obtained for the energy above the most stable polymorph in this dataset is 0 meV per atom.

POSCAR file:
```
Ta8Co5
1.0
2.669 1.541 8.403
-2.669 1.541 8.403
0.000 -3.082 8.403
Ta Co
8 5
Direct
0.083 0.582 0.083
0.083 0.083 0.582
0.418 0.917 0.917
0.650 0.650 0.650
0.350 0.350 0.350
0.917 0.917 0.418
0.582 0.083 0.083
0.917 0.418 0.917
0.000 0.000 0.000
0.454 0.454 0.454
0.833 0.833 0.833
0.546 0.546 0.546
0.167 0.167 0.167
```

No. 15
Er2TmSi4Au4 | PBE-GGA | relaxed

The value obtained for the calculated total energy is -5.0721 eV per atom.

POSCAR file:
```
Er2TmSi4Au4
1.0
-2.133 3.461 7.067
2.133 -3.461 7.067
2.133 3.461 -7.067
Si Er Au Tm
4 2 4 1
Direct
0.784 0.784 0.000
0.216 0.216 0.000
0.677 0.500 0.177
0.323 0.500 0.823
0.624 0.124 0.500
0.376 0.876 0.500
0.632 0.334 0.297
0.963 0.666 0.297
0.368 0.666 0.703
0.037 0.334 0.703
0.000 0.000 0.000
```

No. 16
Ba2InOsSe6 | PBE-GGA | relaxed

The value obtained for the energy above the most stable polymorph in this dataset is 7 meV per atom.

POSCAR file:
```
Ba2InOsSe6
1.0
6.191 -3.295 0.000
6.191 3.295 0.000
-4.745 0.000 6.685
Ba Se In Os
2 6 1 1
Direct
0.262 0.262 0.245
0.738 0.738 0.755
0.806 0.313 0.335
0.765 0.765 0.174
0.313 0.806 0.335
0.235 0.235 0.826
0.194 0.687 0.665
0.687 0.194 0.665
0.500 0.500 0.000
0.000 0.000 0.500
```

No. 17
ErBeAsO | PBE-GGA | relaxed

The value obtained for the energy above the most stable polymorph in this dataset is 0 meV per atom.

POSCAR file:
```
ErBeAsO
1.0
3.788 0.000 0.000
0.000 3.788 0.000
0.000 0.000 8.539
Be As O Er
2 2 2 2
Direct
0.250 0.750 0.500
0.750 0.250 0.500
0.750 0.750 0.341
0.250 0.250 0.659
0.750 0.250 0.000
0.250 0.750 0.000
0.250 0.250 0.132
0.750 0.750 0.868
```

No. 18
TmPbAuSe3 | PBE-GGA | relaxed

The value obtained for the energy above the most stable polymorph in this dataset is 56 meV per atom.

POSCAR file:
```
TmPbAuSe3
1.0
9.140 -2.016 0.000
9.140 2.016 0.000
-1.675 0.000 8.311
Se Pb Tm Au
6 2 2 2
Direct
0.689 0.689 0.335
0.676 0.676 0.863
0.000 0.000 0.000
0.324 0.324 0.137
0.500 0.500 0.500
0.311 0.311 0.665
0.129 0.129 0.579
0.871 0.871 0.421
0.163 0.163 0.091
0.837 0.837 0.909
0.454 0.454 0.784
0.546 0.546 0.216
```

No. 19
KPaCl6 | PBE-GGA | relaxed

The value obtained for the calculated total energy is -4.5926 eV per atom.

POSCAR file:
```
KPaCl6
1.0
-2.564 0.651 7.267
1.764 5.759 4.851
-4.949 5.384 2.516
Pa K Cl
1 1 6
Direct
0.000 0.000 0.000
0.500 0.500 0.500
0.908 0.908 0.412
0.908 0.412 0.908
0.412 0.908 0.908
0.588 0.092 0.092
0.092 0.092 0.588
0.092 0.588 0.092
```

No. 20
NpAs2Pd4 | PBE-GGA | relaxed

The value obtained for the calculated total energy is -6.4940 eV per atom.

POSCAR file:
```
NpAs2Pd4
1.0
7.679 0.000 0.000
0.000 7.679 0.000
0.000 0.000 4.094
Np Pd As
2 8 4
Direct
0.000 0.000 0.000
0.500 0.500 0.500
0.907 0.342 0.500
0.158 0.407 0.000
0.342 0.907 0.500
0.593 0.842 0.000
0.842 0.593 0.000
0.407 0.158 0.000
0.093 0.658 0.500
0.658 0.093 0.500
0.715 0.285 0.000
0.785 0.785 0.500
0.285 0.715 0.000
0.215 0.215 0.500
```

No. 21
HfInAgSe2S | PBE-GGA | relaxed

The value obtained for the calculated total energy is -5.1896 eV per atom.

POSCAR file:
```
HfInAgSe2S
1.0
1.943 -7.168 0.000
1.943 7.168 0.000
0.000 0.000 10.292
Se Hf S Ag In
4 2 2 2 2
Direct
0.132 0.868 0.523
0.868 0.132 0.023
0.868 0.132 0.477
0.132 0.868 0.977
0.500 0.500 0.500
0.500 0.500 0.000
0.442 0.558 0.750
0.558 0.442 0.250
0.058 0.942 0.750
0.942 0.058 0.250
0.229 0.771 0.250
0.771 0.229 0.750
```

No. 22
HoCoSn | PBE-GGA | relaxed

The value obtained for the calculated total energy is -5.7217 eV per atom.

POSCAR file:
```
HoCoSn
1.0
-3.069 4.902 -4.353
1.798 -2.093 -3.625
-5.941 -4.190 -0.529
Ho Sn Co
4 4 4
Direct
0.522 0.750 0.701
0.478 0.250 0.299
0.978 0.250 0.201
0.022 0.750 0.799
0.205 0.750 0.391
0.795 0.250 0.609
0.295 0.250 0.891
0.705 0.750 0.109
0.153 0.250 0.559
0.847 0.750 0.441
0.347 0.750 0.059
0.653 0.250 0.941
```